Entry from Alexandria: a PBEsol-optimized structure of Ge3IrW (SCAN).

Calculated values
* ΔE_f: 1264 meV/atom
* size of the total moment: 3.62 μB per formula unit
* space-group type: Pm-3m

Lattice parameters (Å, degrees): 4.7003 4.7003 4.7003 90.00 90.00 90.00
Last column: magnetic moment on the atom in μB.
Positions (direct):
Ge 0.0000 0.5000 0.0000  0.00
W 0.5000 0.5000 0.5000  2.83
Ge 0.0000 0.0000 0.5000  0.00
Ge 0.5000 0.0000 0.0000  0.00
Ir 0.0000 0.0000 0.0000  0.06